A) The following is a DFT calculation (GGA-PBE) of a relaxed structure of Ca3ZnPd.

abc: 5.537 5.537 5.537
angles: 90.00 90.00 90.00
Fractional coordinates of all 5 atoms:
Zn  0.500  0.500  0.500
Ca  0.000  0.500  0.000
Ca  0.000  0.000  0.500
Ca  0.500  0.000  0.000
Pd  0.000  0.000  0.000


B) The following is a DFT calculation (GGA-PBE) of a relaxed structure of Ca3ZnPd.

abc: 4.273 8.070 8.539
angles: 110.72 90.00 90.00
Fractional coordinates of all 10 atoms:
Ca  0.750  0.319  0.934
Ca  0.250  0.374  0.596
Ca  0.250  0.906  0.778
Ca  0.250  0.681  0.066
Ca  0.750  0.094  0.222
Ca  0.750  0.626  0.404
Zn  0.750  0.053  0.577
Zn  0.250  0.947  0.423
Pd  0.250  0.361  0.196
Pd  0.750  0.639  0.804


Least stable: A)


A) The following is a DFT calculation (GGA-PBE) of a relaxed structure of Ca3ZrPd.

abc: 5.546 5.546 5.546
angles: 90.00 90.00 90.00
Fractional coordinates of all 5 atoms:
Ca  0.000  0.500  0.000
Ca  0.000  0.000  0.500
Ca  0.500  0.000  0.000
Pd  0.500  0.500  0.500
Zr  0.000  0.000  0.000


B) The following is a DFT calculation (GGA-PBE) of a relaxed structure of Ca3ZrPd.

abc: 5.509 5.509 5.509
angles: 90.00 90.00 90.00
Fractional coordinates of all 5 atoms:
Pd  0.000  0.000  0.000
Ca  0.000  0.000  0.500
Ca  0.500  0.000  0.000
Ca  0.000  0.500  0.000
Zr  0.500  0.500  0.500


Least stable: A)


A) The following is a DFT calculation (GGA-PBE) of a relaxed structure of CaZr2Pd.

abc: 8.183 8.183 6.508
angles: 51.05 51.05 90.00
Fractional coordinates of all 8 atoms:
Zr  0.375  0.313  0.750
Zr  0.063  0.625  0.250
Zr  0.875  0.937  0.750
Zr  0.687  0.125  0.250
Pd  0.000  0.000  0.000
Pd  0.750  0.250  0.500
Ca  0.250  0.750  0.500
Ca  0.500  0.500  0.000


B) The following is a DFT calculation (GGA-PBE) of a relaxed structure of CaZr2Pd.

abc: 4.962 4.962 4.962
angles: 60.00 60.00 60.00
Fractional coordinates of all 4 atoms:
Pd  0.500  0.500  0.500
Zr  0.750  0.750  0.750
Zr  0.250  0.250  0.250
Ca  0.000  0.000  0.000


Least stable: B)